# 1
This record from Alexandria via LeMat-Bulk describes a relaxed Sc5Be crystal. The functional is PBE.

Unit cell a=5.7583 b=5.7583 c=5.2744 alpha=90.00 beta=90.00 gamma=120.00
Last column: nearest neighbours and their distance in Å.
Space group P6/mmm (No. 191)
Symmetry-distinct sites (fractional):
Sc: 0.0000 0.5000 0.0000  8 Sc 2.88-3.12
Sc: 0.3333 0.6667 0.5000  9 Sc 3.12-3.32, 3 Be 3.32
Be: 0.0000 0.0000 0.5000  6 Sc 3.32

Properties
- Distance to the lowest polymorph of the same formula: 738 meV per atom
- Energy: -5.140 eV/atom
- Crystal system: hexagonal

---

# 2
This record from Alexandria via LeMat-Bulk describes a relaxed Na2CaSi3Au12 crystal. The functional is PBE.

Unit cell a=9.2725 b=9.2725 c=15.1264 alpha=90.00 beta=90.00 gamma=120.00
Last column: nearest neighbours and their distance in Å.
Space group R-3m (No. 166, hexagonal axes)
Symmetry-distinct sites (fractional):
Na: 0.0000 0.0000 0.0886  1 Na 2.68, 3 Au 2.76
Ca: 0.0000 0.0000 0.5000  6 Au 2.93
Si: 0.0000 0.5000 0.0000  6 Au 2.40-2.55
Au: 0.0307 0.5154 0.8420  1 Si 2.40
Au: 0.0353 0.5176 0.3405  2 Si 2.55, 1 Au 2.81

Properties
- Uncorrected formation energy: -79 meV/atom
- Energy: -3.426 eV/atom
- Crystal system: trigonal

---

# 3
This record from Alexandria via LeMat-Bulk describes a relaxed CaMg2Tc crystal. The functional is PBE.

Unit cell a=2.9345 b=4.7874 c=6.1985 alpha=90.00 beta=103.16 gamma=90.00
Last column: nearest neighbours and their distance in Å.
Space group Pm (No. 6)
Symmetry-distinct sites (fractional):
Ca: 0.0000 0.0000 0.0000  2 Ca 2.93, 3 Mg 3.09-3.25, 4 Tc 3.10-3.17
Mg: 0.3265 0.0000 0.5375  2 Tc 2.78, 4 Mg 2.93-3.00, 1 Ca 3.09
Mg: 0.6896 0.5000 0.3368  6 Mg 2.93-3.12, 2 Tc 2.95-3.05
Tc: 0.3621 0.5000 0.7695  4 Mg 2.78-3.05, 2 Tc 2.93, 2 Ca 3.10

Properties
- Distance to the lowest polymorph of the same formula: 76 meV per atom
- Energy: -3.526 eV/atom
- Crystal system: monoclinic

---

# 4
This record from Alexandria via LeMat-Bulk describes a relaxed SrTl2Fe crystal. The functional is PBE.

Unit cell a=5.6791 b=5.6791 c=16.4800 alpha=90.00 beta=90.00 gamma=90.00
Last column: nearest neighbours and their distance in Å.
Space group I-42d (No. 122)
Symmetry-distinct sites (fractional):
Sr: 0.0000 0.0000 0.0000  4 Tl 3.44
Tl: 0.0852 0.2500 0.6250  2 Fe 2.55
Fe: 0.0000 0.0000 0.5000  4 Tl 2.55

Properties
- Energy: -3.186 eV/atom
- Crystal system: tetragonal

---

# 5
This record from Alexandria via LeMat-Bulk describes a relaxed Ho3Er12Hg5 crystal. The functional is PBE.

Unit cell a=17.9191 b=17.9191 c=17.9191 alpha=90.00 beta=90.00 gamma=90.00
Last column: nearest neighbours and their distance in Å.
Space group Ia-3d (No. 230)
Symmetry-distinct sites (fractional):
Ho: 0.0000 0.2500 0.1250  8 Er 3.24-3.41
Er: 0.0183 0.0716 0.6472  2 Hg 2.95, 1 Ho 3.24
Hg: 0.0000 0.0000 0.0000  6 Er 2.95
Hg: 0.0000 0.2500 0.3750  4 Er 2.95

Properties
- Energy: -3.106 eV/atom
- Crystal system: cubic

---

# 6
This record from Alexandria via LeMat-Bulk describes a relaxed CrGa2PRu crystal. The functional is PBE.

Unit cell a=4.6076 b=4.6076 c=4.2213 alpha=90.00 beta=90.00 gamma=90.00
Last column: nearest neighbours and their distance in Å.
Space group P4/mmm (No. 123)
Symmetry-distinct sites (fractional):
Cr: 0.0000 0.0000 0.0000  2 P 2.11
Ga: 0.0000 0.5000 0.5000  2 P 2.30
P: 0.0000 0.0000 0.5000  2 Cr 2.11, 4 Ga 2.30
Ru: 0.5000 0.5000 0.0000  8 Ga 3.12, 4 Cr 3.26

Properties
- Energy: -5.226 eV/atom
- Crystal system: tetragonal

---

# 7
This record from Alexandria via LeMat-Bulk describes a relaxed DyZr2Sc crystal. The functional is PBE.

Unit cell a=3.7685 b=3.7685 c=7.0603 alpha=90.00 beta=90.00 gamma=90.00
Last column: nearest neighbours and their distance in Å.
Space group P4/mmm (No. 123)
Symmetry-distinct sites (fractional):
Dy: 0.0000 0.0000 0.0000  8 Zr 3.33, 2 Sc 3.53
Zr: 0.5000 0.5000 0.2833  1 Zr 3.06, 4 Sc 3.07, 4 Dy 3.33
Sc: 0.0000 0.0000 0.5000  8 Zr 3.07

Properties
- Distance to the lowest polymorph of the same formula: 106 meV per atom
- Energy: -6.843 eV/atom
- Crystal system: tetragonal

---

# 8
This record from Alexandria via LeMat-Bulk describes a relaxed Sc2SnOs crystal. The functional is PBE.

Unit cell a=3.2570 b=3.2570 c=26.7187 alpha=90.00 beta=90.00 gamma=120.00
Last column: nearest neighbours and their distance in Å.
Space group R-3m (No. 166, hexagonal axes)
Symmetry-distinct sites (fractional):
Sc: 0.0000 0.0000 0.2391  3 Os 2.70
Sn: 0.0000 0.0000 0.0000  6 Sc 3.14, 6 Sn 3.26
Os: 0.0000 0.0000 0.5000  6 Sc 2.70

Properties
- Energy: -7.251 eV/atom
- Crystal system: trigonal